A plane-wave DFT calculation with PBE with a Hubbard U was carried out for a relaxed structure of Ni2BiF.

The energy above the most stable polymorph in this dataset is 574 meV/atom.

a = 4.315 Å, b = 4.315 Å, c = 4.315 Å
α = 60.00°, β = 60.00°, γ = 60.00°
Element x y z (fractional)
Ni  0.250  0.250  0.250
Ni  0.750  0.750  0.750
Bi  0.500  0.500  0.500
F  0.000  0.000  0.000